First-principles (GGA-PBEsol) data for an optimized crystal structure of Y4Sb3, as listed in the Alexandria database.

Computed properties:
Magnetization (μB/cell): 0.00
Density of states at the Fermi level (states/eV/cell): 14.084
Raw formation energy (eV/atom): -1.09

Lattice parameters (Å, degrees): 7.8586 7.8586 7.8586 109.47 109.47 109.47
Last column: nearest neighbours and their distance in Å.
Element x y z (fractional)
Y  0.5000  0.1446  0.5000  6 Sb 3.04-3.25
Y  0.1446  0.0000  0.0000  6 Sb 3.04-3.25
Y  0.0000  0.5000  0.1446  6 Sb 3.04-3.25
Y  0.6446  0.0000  0.0000  6 Sb 3.04-3.25
Y  0.0000  0.5000  0.6446  6 Sb 3.04-3.25
Y  0.5000  0.6446  0.5000  6 Sb 3.04-3.25
Y  0.8554  0.8554  0.3554  6 Sb 3.04-3.25
Y  0.3554  0.3554  0.8554  6 Sb 3.04-3.25
Sb  0.1250  0.2500  0.3750  8 Y 3.04-3.25
Sb  0.8750  0.1250  0.7500  8 Y 3.04-3.25
Sb  0.3750  0.7500  0.1250  8 Y 3.04-3.25
Sb  0.7500  0.6250  0.8750  8 Y 3.04-3.25
Sb  0.6250  0.3750  0.2500  8 Y 3.04-3.25
Sb  0.2500  0.8750  0.6250  8 Y 3.04-3.25

First-principles (GGA-PBEsol) data for an optimized crystal structure of YSb4, as listed in the Alexandria database.

Computed properties:
Magnetization (μB/cell): 0.00
Density of states at the Fermi level (states/eV/cell): 3.244
Raw formation energy (eV/atom): -0.13

Lattice parameters (Å, degrees): 5.9047 5.9047 5.9047 109.47 109.47 109.47
Last column: nearest neighbours and their distance in Å.
Element x y z (fractional)
Sb  0.0000  0.0000  0.5000  2 Y 2.95
Sb  0.5000  0.5000  0.5000  2 Y 2.95
Sb  0.5000  0.0000  0.0000  2 Y 2.95
Sb  0.0000  0.5000  0.0000  2 Y 2.95
Y  0.0000  0.0000  0.0000  8 Sb 2.95

First-principles (GGA-PBEsol) data for an optimized crystal structure of YSb3, as listed in the Alexandria database.

Computed properties:
Magnetization (μB/cell): 0.00
Density of states at the Fermi level (states/eV/cell): 0.334
Raw formation energy (eV/atom): -0.51

Lattice parameters (Å, degrees): 4.3158 4.4199 6.0759 90.00 90.00 90.00
Last column: nearest neighbours and their distance in Å.
Element x y z (fractional)
Sb  0.5000  0.2515  0.5000  4 Y 3.07-3.11, 2 Sb 3.16
Sb  0.5000  0.4468  0.0000  4 Sb 2.92-3.16
Sb  0.0000  0.8908  0.0000  2 Sb 2.92, 2 Y 3.11
Y  0.0000  0.7442  0.5000  6 Sb 3.07-3.11

First-principles (GGA-PBEsol) data for an optimized crystal structure of Y2Sb, as listed in the Alexandria database.

Computed properties:
Magnetization (μB/cell): 0.00
Density of states at the Fermi level (states/eV/cell): 5.997
Raw formation energy (eV/atom): -0.80

Lattice parameters (Å, degrees): 4.0891 6.2044 7.6284 114.00 105.55 90.00
Last column: nearest neighbours and their distance in Å.
Element x y z (fractional)
Y  0.0000  0.2439  0.0000  2 Y 3.03-3.18, 4 Sb 3.17
Y  0.0000  0.7561  0.0000  2 Y 3.03-3.18, 4 Sb 3.17
Y  0.3102  0.3102  0.6204  4 Sb 3.03-3.17
Y  0.6898  0.6898  0.3796  4 Sb 3.03-3.17
Sb  0.6425  0.1425  0.2851  8 Y 3.03-3.17
Sb  0.3575  0.8575  0.7149  8 Y 3.03-3.17

First-principles (GGA-PBEsol) data for an optimized crystal structure of Y2ZnSb, as listed in the Alexandria database.

Computed properties:
Magnetization (μB/cell): 0.00
Density of states at the Fermi level (states/eV/cell): 3.897
Raw formation energy (eV/atom): -0.58

Lattice parameters (Å, degrees): 4.2079 4.2079 7.3840 73.45 73.45 60.00
Last column: nearest neighbours and their distance in Å.
Element x y z (fractional)
Zn  0.5000  0.5000  0.5000  6 Y 2.98
Sb  0.0000  0.0000  0.0000  6 Y 3.00
Y  0.7504  0.7504  0.7487  3 Zn 2.98, 3 Sb 3.00
Y  0.2496  0.2496  0.2513  3 Zn 2.98, 3 Sb 3.00

First-principles (GGA-PBEsol) data for an optimized crystal structure of Y4ZnSb, as listed in the Alexandria database.

Computed properties:
Magnetization (μB/cell): 0.00
Density of states at the Fermi level (states/eV/cell): 7.108
Raw formation energy (eV/atom): 0.24

Lattice parameters (Å, degrees): 6.1299 6.1299 6.1299 60.00 60.00 60.00
Last column: nearest neighbours and their distance in Å.
Element x y z (fractional)
Sb  0.0000  0.0000  0.0000  12 Y 3.59, 4 Zn 3.75
Y  0.3748  0.3748  0.3748  6 Y 3.06-3.07
Y  0.3748  0.8755  0.3748  6 Y 3.06-3.07
Y  0.8755  0.3748  0.3748  6 Y 3.06-3.07
Y  0.3748  0.3748  0.8755  6 Y 3.06-3.07
Zn  0.7500  0.7500  0.7500  12 Y 3.59, 4 Sb 3.75

First-principles (GGA-PBEsol) data for an optimized crystal structure of YZnSb2, as listed in the Alexandria database.

Computed properties:
Magnetization (μB/cell): 0.00
Density of states at the Fermi level (states/eV/cell): 2.377
Raw formation energy (eV/atom): -0.22

Lattice parameters (Å, degrees): 3.3062 3.3062 8.8663 90.00 90.00 89.99
Last column: nearest neighbours and their distance in Å.
Element x y z (fractional)
Y  0.0000  0.0000  0.4705  4 Zn 3.05, 4 Sb 3.23, 4 Y 3.31
Sb  0.0000  0.0000  0.0566  4 Zn 2.90
Sb  0.5000  0.5000  0.7227  4 Y 3.23, 4 Sb 3.31
Zn  0.5000  0.5000  0.2503  4 Sb 2.90, 4 Y 3.05

First-principles (GGA-PBEsol) data for an optimized crystal structure of Y2ZnSb, as listed in the Alexandria database.

Computed properties:
Magnetization (μB/cell): 0.00
Density of states at the Fermi level (states/eV/cell): 3.128
Raw formation energy (eV/atom): -0.77

Lattice parameters (Å, degrees): 4.1237 4.2910 5.9371 111.18 90.00 90.00
Last column: nearest neighbours and their distance in Å.
Element x y z (fractional)
Y  0.5000  0.9868  0.9736  4 Zn 3.03, 3 Sb 3.13-3.23
Y  0.0000  0.2724  0.5449  1 Zn 2.92, 4 Sb 3.07
Sb  0.5000  0.7044  0.4088  2 Zn 2.78, 4 Y 3.07
Zn  0.0000  0.5363  0.0727  2 Sb 2.78, 5 Y 2.92-3.03

Question: Look up the raw formation energy of the eighth one.
Answer: -0.77 eV/atom